(1)
Nd2Dy2Ho4Tm, relaxed, DFT GGA-PBE; ΔH_f (0 K) = 0.00 eV/atom
1.0
3.591 0.000 0.000
-1.796 9.297 -0.497
0.000 -3.670 8.804
Dy Nd Ho Tm
2 2 4 1
Direct
0.853 0.706 0.338 Dy
0.147 0.294 0.662 Dy
0.335 0.670 0.001 Nd
0.665 0.330 0.999 Nd
0.185 0.371 0.336 Ho
0.481 0.961 0.666 Ho
0.519 0.039 0.334 Ho
0.815 0.629 0.664 Ho
0.000 0.000 0.000 Tm


(2)
PmNi4Sn, relaxed, DFT GGA-PBE; polymorph energy (0 for the lowest one) = 94 meV/atom; ΔH_f (0 K) = -0.23 eV/atom
1.0
4.000 0.000 0.000
0.000 5.761 0.000
-2.000 0.000 8.306
Ni Pm Sn
8 2 2
Direct
0.350 0.450 0.699 Ni
0.350 0.050 0.699 Ni
0.650 0.950 0.301 Ni
0.500 0.500 0.000 Ni
0.650 0.550 0.301 Ni
0.076 0.750 0.153 Ni
0.924 0.250 0.847 Ni
0.500 0.000 0.000 Ni
0.092 0.250 0.184 Pm
0.908 0.750 0.816 Pm
0.234 0.750 0.468 Sn
0.766 0.250 0.532 Sn


(3)
Pm3Ga2BIr3, relaxed, DFT GGA-PBE; ΔH_f (0 K) = -0.51 eV/atom
1.0
3.700 0.000 0.000
0.000 7.274 0.000
0.000 -3.637 6.299
Ga Pm Ir B
2 3 3 1
Direct
0.500 0.667 0.333 Ga
0.500 0.333 0.667 Ga
0.000 0.381 0.000 Pm
0.000 0.000 0.381 Pm
0.000 0.619 0.619 Pm
0.500 0.780 0.000 Ir
0.500 0.000 0.780 Ir
0.500 0.220 0.220 Ir
0.000 0.000 0.000 B


(4)
LaCd2Fe, relaxed, DFT GGA-PBE; ΔH_f (0 K) = 0.12 eV/atom
1.0
-1.319 -0.070 3.071
-2.586 -1.779 -1.150
4.009 -6.839 1.565
Cd La Fe
2 1 1
Direct
0.000 0.000 0.037 Cd
0.500 0.500 0.283 Cd
0.500 0.500 0.714 La
0.000 0.000 0.466 Fe


(5)
CsOsI3, relaxed, DFT GGA-PBE; polymorph energy (0 for the lowest one) = 1423 meV/atom; E_form (uncorrected) = 1.37 eV per atom
1.0
7.102 0.000 0.000
0.000 7.102 0.000
0.000 0.000 7.102
I Cs Os
3 1 1
Direct
0.000 0.500 0.000 I
0.000 0.000 0.500 I
0.500 0.000 0.000 I
0.000 0.000 0.000 Cs
0.500 0.500 0.500 Os


(6)
Density functional theory data (GGA-PBE) for a relaxed Cd4BiH2 crystal.

```
Cd4BiH2
1.0
-3.147 0.656 -0.864
-1.478 -6.502 0.467
-1.548 0.820 6.248
Cd Bi H
4 1 2
Direct
0.000 0.792 0.358 Cd
0.500 0.141 0.193 Cd
0.000 0.208 0.642 Cd
0.500 0.859 0.807 Cd
0.000 0.500 0.000 Bi
0.500 0.294 0.495 H
0.500 0.706 0.505 H
```


(7)
GdLuSnRh, relaxed, DFT GGA-PBE; ΔH_f (0 K) = -0.65 eV/atom
1.0
5.075 0.000 0.000
2.538 4.395 0.000
2.538 1.465 4.144
Rh Gd Lu Sn
1 1 1 1
Direct
0.750 0.750 0.750 Rh
0.500 0.500 0.500 Gd
0.000 0.000 0.000 Lu
0.250 0.250 0.250 Sn


(8)
La2BeAs, relaxed, DFT GGA-PBE; polymorph energy (0 for the lowest one) = 220 meV/atom; ΔH_f (0 K) = -0.43 eV/atom
1.0
-0.456 1.199 4.154
-4.110 -1.433 -0.038
1.911 -5.527 1.805
As Be La
1 1 2
Direct
0.000 0.000 0.375 As
0.500 0.500 0.875 Be
0.000 0.000 0.875 La
0.500 0.500 0.375 La


Q: Which magnetization values were calculated for the entries above? A: 0.00, 0.00, 0.00, 0.58, 1.20, 0.00, 1.77, 0.31, in μB/atom.
Q: Which DFT total energy values were calculated for the entries above? A: -4.614, -5.539, -6.465, -3.686, -1.975, -1.831, -8.139, -4.984, in eV/atom.
Q: Which density of states at the Fermi level values were calculated for the entries above? A: 12.2, 4.6, 5.3, 4.9, 22.2, 1.7, 2.6, 5.3, in states/eV/f.u..